# 1
MnP2O7, single point on PBEsol structure, DFT meta-GGA SCAN; formation energy from raw total energies = -2308.6 meV per atom; space group = P-1; theoretical density = 3.1 g cm⁻³; DOS(E_F) = 0.0 states/eV/cell; E above lowest polymorph = 0.000 eV/atom
1.0
4.874 -0.021 -0.020
0.153 6.586 0.064
0.182 3.037 7.576
Mn P O
2 4 14
direct
0.757 0.782 0.265
0.243 0.218 0.735
0.273 0.450 0.321
0.727 0.550 0.679
0.248 0.105 0.160
0.752 0.895 0.840
0.568 0.517 0.332
0.946 0.048 0.205
0.054 0.952 0.795
0.082 0.646 0.233
0.164 0.282 0.496
0.286 0.332 0.183
0.330 0.160 0.968
0.432 0.483 0.668
0.836 0.718 0.504
0.559 0.065 0.710
0.441 0.935 0.290
0.670 0.840 0.032
0.714 0.668 0.817
0.918 0.354 0.767

# 2
Li2CaOs, single point on PBEsol structure, DFT meta-GGA SCAN; space group = Pmm2; theoretical density = 5.4 g cm⁻³; DOS(E_F) = 2.2 states/eV/cell; E above lowest polymorph = 0.000 eV/atom; ΔH_f (0 K) = 0.35 eV/atom
1.0
2.646 0.000 0.000
0.000 4.003 0.000
0.000 0.000 7.095
Ca Li Os
1 2 1
direct
0.500 0.500 0.695
0.000 0.000 0.075
0.500 0.500 0.279
0.000 0.000 0.450

# 3
SrMgTl2, single point on PBEsol structure, DFT meta-GGA SCAN; space group = P4/mmm; theoretical density = 7.9 g cm⁻³; DOS(E_F) = 1.3 states/eV/cell; E above lowest polymorph = 0.012 eV/atom; ΔH_f (0 K) = -0.41 eV/atom
1.0
-3.256 0.511 -1.836
0.593 -3.181 -1.938
-0.430 -4.502 7.257
Sr Tl Mg
1 2 1
direct
0.000 0.500 0.500
0.787 0.000 0.787
0.213 0.000 0.213
0.500 0.500 0.000

# 4
La5FePb3, single point on PBEsol structure, DFT meta-GGA SCAN; space group = P6_3/mcm; theoretical density = 8.5 g cm⁻³; DOS(E_F) = 14.1 states/eV/cell; ΔH_f (0 K) = -0.56 eV/atom
1.0
-2.064 6.225 -0.185
-6.812 -2.452 -6.504
-1.998 -0.379 9.517
La Fe Pb
10 2 6
direct
0.750 0.229 0.229
0.750 0.000 0.771
0.750 0.771 0.000
0.250 0.771 0.771
0.250 0.000 0.229
0.250 0.229 0.000
0.500 0.667 0.333
0.500 0.333 0.667
0.000 0.333 0.667
0.000 0.667 0.333
0.500 0.000 0.000
0.000 0.000 0.000
0.750 0.593 0.593
0.750 0.000 0.407
0.750 0.407 0.000
0.250 0.407 0.407
0.250 0.000 0.593
0.250 0.593 0.000

# 5
TePb2WI, single point on PBEsol structure, DFT meta-GGA SCAN; formation energy from raw total energies = 1997.0 meV per atom; space group = P4/mmm; theoretical density = 7.3 g cm⁻³; DOS(E_F) = 5.0 states/eV/cell
1.0
-5.571 -1.363 0.520
0.223 -2.839 -5.054
1.452 -4.869 2.800
Pb I Te W
2 1 1 1
direct
0.000 0.000 0.500
0.000 0.500 0.000
0.000 0.000 0.000
0.500 0.000 0.000
0.500 0.500 0.500

# 6
MgMo2Pb, single point on PBEsol structure, DFT meta-GGA SCAN; space group = Pmmm; theoretical density = 10.0 g cm⁻³; DOS(E_F) = 3.0 states/eV/cell; E above lowest polymorph = 0.000 eV/atom; ΔH_f (0 K) = 0.51 eV/atom
1.0
-0.196 3.195 -1.246
-3.689 -1.097 -2.231
-2.559 1.253 3.616
Mg Mo Pb
1 2 1
direct
0.000 0.500 0.500
0.000 0.000 0.000
0.500 0.500 0.000
0.500 0.000 0.500

# 7
In3RuCl, single point on PBEsol structure, DFT meta-GGA SCAN; formation energy from raw total energies = 994.4 meV per atom; space group = Pm-3m; theoretical density = 5.8 g cm⁻³; DOS(E_F) = 2.2 states/eV/cell; E above lowest polymorph = 1.251 eV/atom
1.0
-4.262 -2.801 -0.777
2.394 -2.601 -3.758
1.649 -3.465 3.448
Ru Cl In
1 1 3
direct
0.500 0.500 0.500
0.000 0.000 0.000
0.000 0.500 0.000
0.000 0.000 0.500
0.500 0.000 0.000

# 8
MnFe4Ir, single point on PBEsol structure, DFT meta-GGA SCAN; space group = F-43m; theoretical density = 11.3 g cm⁻³; DOS(E_F) = 2.5 states/eV/cell; ΔH_f (0 K) = -0.12 eV/atom
1.0
-1.568 -0.667 -4.279
-4.439 -1.010 -0.694
-2.793 3.107 -1.939
Fe Ir Mn
4 1 1
direct
0.625 0.625 0.125
0.125 0.625 0.625
0.625 0.125 0.625
0.625 0.625 0.625
0.250 0.250 0.250
0.000 0.000 0.000

# 9
HfSnOF2, single point on PBEsol structure, DFT meta-GGA SCAN; formation energy from raw total energies = -2267.0 meV per atom; space group = P4/mmm; theoretical density = 7.7 g cm⁻³; DOS(E_F) = 2.5 states/eV/cell
1.0
-0.811 -1.165 -3.767
2.453 -3.536 0.566
-3.473 -2.182 1.422
Hf Sn O F
1 1 1 2
direct
0.000 0.000 0.000
0.500 0.500 0.500
0.500 0.000 0.000
0.000 0.000 0.500
0.000 0.500 0.000

# 10
TlGaSb2, single point on PBEsol structure, DFT meta-GGA SCAN; formation energy from raw total energies = -38.1 meV per atom; space group = I-42d; theoretical density = 6.7 g cm⁻³; DOS(E_F) = 0.5 states/eV/cell
1.0
-4.612 -4.403 0.229
1.056 -0.781 6.244
-2.469 7.107 -1.954
Sb Tl Ga
4 2 2
direct
0.403 0.875 0.250
0.847 0.375 0.250
0.125 0.153 0.750
0.625 0.597 0.750
0.250 0.750 0.500
0.000 0.000 0.000
0.750 0.250 0.500
0.500 0.500 0.000

# 11
CsVS2O8, single point on PBEsol structure, DFT meta-GGA SCAN; formation energy from raw total energies = -2019.7 meV per atom; space group = P-3; theoretical density = 3.4 g cm⁻³
1.0
4.916 0.000 0.000
-2.458 4.257 0.000
0.000 0.000 8.687
Cs V S O
1 1 2 8
direct
0.000 0.000 0.000
0.000 0.000 0.500
0.667 0.333 0.308
0.333 0.667 0.692
0.667 0.333 0.140
0.333 0.667 0.860
0.281 0.923 0.634
0.358 0.281 0.366
0.719 0.077 0.366
0.077 0.358 0.634
0.642 0.719 0.634
0.923 0.642 0.366

# 12
CsTl3Cl, single point on PBEsol structure, DFT meta-GGA SCAN; formation energy from raw total energies = 563.5 meV per atom; space group = Pm-3m; theoretical density = 4.6 g cm⁻³; DOS(E_F) = 5.5 states/eV/cell
1.0
-0.065 1.878 -6.278
-4.785 -4.303 -1.238
-4.477 4.571 1.414
Cs Tl Cl
1 3 1
direct
0.000 0.000 0.000
0.000 0.500 0.000
0.000 0.000 0.500
0.500 0.000 0.000
0.500 0.500 0.500